{"formula": "Pm2Nd7Er4", "functional": "GGA-PBE", "state": "relaxed", "lattice_angstrom": [[-3.480, 8.269, -3.393], [-1.879, -12.834, 7.395], [1.286, 2.132, 5.743]], "species": ["Pm", "Pm", "Nd", "Nd", "Nd", "Nd", "Nd", "Nd", "Nd", "Er", "Er", "Er", "Er"], "fractional_positions": [[0.692, 0.308, 0.845], [0.308, 0.692, 0.155], [0.231, 0.769, 0.613], [0.769, 0.231, 0.387], [0.000, 0.000, 0.000], [0.848, 0.154, 0.925], [0.152, 0.846, 0.075], [0.462, 0.539, 0.232], [0.538, 0.461, 0.768], [0.076, 0.925, 0.537], [0.924, 0.075, 0.463], [0.611, 0.382, 0.307], [0.389, 0.618, 0.693]], "final_energy_ev_per_fu": -60.9, "n_ef_per_ev_cell": 17.021}